Computed, not measured: an optimized crystal structure of BaCr2GaO8 at the GGA+U level of DFT.

Computed properties:
Total magnetic moment: 0.083 μB per atom
Space-group type: P-3
Electronic total energy: -79.58 eV for the cell shown

Lattice parameters (Å, degrees): 5.2986 5.2986 7.4250 90.00 90.00 120.00
Last column: nearest neighbours and their distance in Å.
Fractional positions:
Ba: 0.0000 0.0000 0.0000  12 O 2.93-3.08
Cr: 0.3333 0.6667 0.7307  4 O 1.67-1.70
Cr: 0.6667 0.3333 0.2693  4 O 1.67-1.70
Ga: 0.0000 0.0000 0.5000  6 O 1.98
O: 0.0780 0.3249 0.6653  1 Cr 1.70
O: 0.2469 0.9220 0.6653  1 Cr 1.70
O: 0.3249 0.2469 0.3347  1 Cr 1.70
O: 0.3333 0.6667 0.9553  1 Cr 1.67
O: 0.6667 0.3333 0.0447  1 Cr 1.67
O: 0.6751 0.7531 0.6653  1 Cr 1.70
O: 0.7531 0.0780 0.3347  1 Cr 1.70
O: 0.9220 0.6751 0.3347  1 Cr 1.70